CoCuAu: optimized geometry, GGA-PBEsol.

a b c (Å): 5.762 5.762 5.762
angles (deg): 90.00 90.00 90.00
Space group F-43m (No. 216)
Asymmetric unit:
Co 0.000 0.000 0.000
Cu 0.000 0.000 0.500
Au 0.250 0.250 0.750

Calculated total energy = -56.16 eV per cell
Fermi-level density of states = 19.96 states/eV per cell
E_form = 0.65 eV/atom